1.
PuCoGe3Rh | PBE-GGA | optimized geometry

M_tot ... 5.9 μB per formula unit
Energy relative to the elements ... -1.2 eV per formula unit
Calculated volume ... 117.9 Å³/f.u.

abc: 6.713 6.713 5.738
angles: 90.00 90.00 114.21
Sites, in units of the cell vectors:
Pu  0.246  0.754  0.750
Pu  0.754  0.246  0.250
Co  0.044  0.956  0.250
Co  0.956  0.044  0.750
Ge  0.237  0.763  0.250
Ge  0.241  0.241  0.000
Ge  0.241  0.241  0.500
Ge  0.759  0.759  0.000
Ge  0.759  0.759  0.500
Ge  0.763  0.237  0.750
Rh  0.441  0.559  0.250
Rh  0.559  0.441  0.750

2.
Li3Ga5Au2 | PBE-GGA | optimized geometry

M_tot ... 0.0 μB per formula unit
Energy relative to the elements ... -2.7 eV per formula unit
Calculated volume ... 187.5 Å³/f.u.

abc: 8.702 8.702 8.702
angles: 102.46 89.32 142.75
Sites, in units of the cell vectors:
Li  0.229  0.115  0.344
Li  0.250  0.250  0.000
Li  0.271  0.615  0.885
Li  0.729  0.385  0.115
Li  0.750  0.750  0.000
Li  0.771  0.885  0.656
Ga  0.147  0.378  0.526
Ga  0.250  0.003  0.753
Ga  0.250  0.497  0.247
Ga  0.250  0.750  0.500
Ga  0.353  0.878  0.231
Ga  0.647  0.122  0.769
Ga  0.750  0.250  0.500
Ga  0.750  0.503  0.753
Ga  0.750  0.997  0.247
Ga  0.853  0.622  0.474
Au  0.151  0.863  0.014
Au  0.349  0.363  0.713
Au  0.651  0.637  0.287
Au  0.849  0.137  0.986

3.
Cr2CuTc | PBE-GGA | optimized geometry

M_tot ... 0.2 μB per formula unit
Energy relative to the elements ... 1.1 eV per formula unit
Calculated volume ... 50.1 Å³/f.u.

abc: 3.729 3.729 7.201
angles: 90.00 90.00 90.00
Sites, in units of the cell vectors:
Cr  0.000  0.000  0.000
Cr  0.000  0.500  0.250
Cr  0.500  0.000  0.750
Cr  0.500  0.500  0.500
Cu  0.000  0.500  0.750
Cu  0.500  0.000  0.250
Tc  0.000  0.000  0.500
Tc  0.500  0.500  0.000

4.
Ge3BF | PBE-GGA | optimized geometry

Energy above the lowest structure with this stoichiometry ... 0.0 meV per atom
M_tot ... 0.0 μB per formula unit
Formation energy (no corrections) ... 338 meV/atom
Calculated volume ... 85.8 Å³/f.u.

abc: 4.410 4.410 4.410
angles: 90.00 90.00 90.00
Sites, in units of the cell vectors:
Ge  0.000  0.000  0.500
Ge  0.000  0.500  0.000
Ge  0.500  0.000  0.000
B  0.000  0.000  0.000
F  0.500  0.500  0.500

no.,mass density (Mg/m³)
1,8.78
2,6.76
3,8.81
4,4.80